a.
VASP calculation (GGA-PBE) on a relaxed Ac2PrGe crystal.

Cell: 10.2476 10.2476 10.2476 Å, 24.11 24.11 24.11°
Atoms (fractional coordinates):
Ac: 0.0000 0.0000 0.0000
Ac: 0.2063 0.2063 0.2063
Pr: 0.4368 0.4368 0.4368
Ge: 0.6026 0.6026 0.6026

Magnetic moment: 0.00 μB/f.u.

---

b.
VASP calculation (GGA-PBE) on a relaxed Ac2PrGe crystal.

Cell: 5.7754 5.7754 5.7754 Å, 60.00 60.00 60.00°
Atoms (fractional coordinates):
Ac: 0.2500 0.2500 0.2500
Ac: 0.7500 0.7500 0.7500
Pr: 0.0000 0.0000 0.0000
Ge: 0.5000 0.5000 0.5000

Magnetic moment: 0.00 μB/f.u.

---

a is favored, and the nearest alternative lies 152 meV/atom above it.

---

a.
VASP calculation (GGA-PBE) on a relaxed Ac2PrGe crystal.

Cell: 4.0546 4.0546 8.6179 Å, 90.00 90.00 90.00°
Atoms (fractional coordinates):
Ac: 0.0000 0.0000 0.1965
Ac: 0.0000 0.0000 0.8035
Pr: 0.5000 0.5000 0.5000
Ge: 0.5000 0.5000 0.0000

Magnetic moment: 0.00 μB/f.u.

---

b.
VASP calculation (GGA-PBE) on a relaxed Ac2PrGe crystal.

Cell: 5.1578 5.1578 4.9412 Å, 90.00 90.00 90.00°
Atoms (fractional coordinates):
Ac: 0.0000 0.5000 0.0000
Ac: 0.5000 0.0000 0.0000
Pr: 0.0000 0.0000 0.5000
Ge: 0.5000 0.5000 0.5000

Magnetic moment: 0.00 μB/f.u.

---

a is favored, and the nearest alternative lies 13 meV/atom above it.

---

a.
VASP calculation (GGA-PBE) on a relaxed AcPrGePt crystal.

Cell: 5.3349 5.3349 5.3349 Å, 60.00 60.00 60.00°
Atoms (fractional coordinates):
Ac: 0.0000 0.0000 0.0000
Pr: 0.5000 0.5000 0.5000
Ge: 0.2500 0.2500 0.2500
Pt: 0.7500 0.7500 0.7500

Magnetic moment: 0.00 μB/f.u.

---

b.
VASP calculation (GGA-PBE) on a relaxed AcPrGePt crystal.

Cell: 4.8654 4.8654 10.6189 Å, 90.00 90.00 90.00°
Atoms (fractional coordinates):
Ac: 0.2500 0.2500 0.1662
Ac: 0.7500 0.7500 0.8338
Pr: 0.2500 0.7500 0.5000
Pr: 0.7500 0.2500 0.5000
Ge: 0.2500 0.2500 0.8802
Ge: 0.7500 0.7500 0.1198
Pt: 0.2500 0.2500 0.6552
Pt: 0.7500 0.7500 0.3448

Magnetic moment: 0.00 μB/f.u.

---

a is favored, and the nearest alternative lies 103 meV/atom above it.

---

a.
VASP calculation (GGA-PBE) on a relaxed Ac3Ge4Pt2 crystal.

Cell: 6.3181 6.3181 8.7936 Å, 99.09 99.09 41.20°
Atoms (fractional coordinates):
Ac: 0.0000 0.0000 0.0000
Ac: 0.3344 0.3344 0.3393
Ac: 0.6656 0.6656 0.6607
Ge: 0.0557 0.0557 0.3850
Ge: 0.2712 0.2712 0.9280
Ge: 0.7288 0.7288 0.0720
Ge: 0.9443 0.9443 0.6150
Pt: 0.3959 0.3959 0.7233
Pt: 0.6041 0.6041 0.2767

Magnetic moment: 0.00 μB/f.u.

---

b.
VASP calculation (GGA-PBE) on a relaxed Ac3Ge4Pt2 crystal.

Cell: 6.2638 6.2638 9.0097 Å, 108.43 108.43 42.10°
Atoms (fractional coordinates):
Ac: 0.0000 0.0000 0.0000
Ac: 0.3812 0.3812 0.3170
Ac: 0.6188 0.6188 0.6830
Ge: 0.1267 0.1267 0.4142
Ge: 0.2776 0.2776 0.9354
Ge: 0.7224 0.7224 0.0646
Ge: 0.8733 0.8733 0.5858
Pt: 0.3321 0.3321 0.6856
Pt: 0.6679 0.6679 0.3144

Magnetic moment: 0.00 μB/f.u.

---

a is favored, and the nearest alternative lies 99 meV/atom above it.